NdEr6Tm12 after structural relaxation. Source: Alexandria, functional PBE-GGA.

Relative energy among the computed polymorphs, eV/atom: 0.000
Electronic total energy, eV/atom: -4.35
Formation energy, meV/atom: 164

Lattice parameters (Å, degrees): 8.4208 8.4208 8.4208 88.22 88.22 88.22
Fractional positions:
Nd  0.0000  0.0000  0.0000
Er  0.7451  0.9102  0.3171
Er  0.6829  0.2549  0.0898
Er  0.0898  0.6829  0.2549
Er  0.2549  0.0898  0.6829
Er  0.3171  0.7451  0.9102
Er  0.9102  0.3171  0.7451
Tm  0.7713  0.5460  0.4363
Tm  0.4363  0.7713  0.5460
Tm  0.5460  0.4363  0.7713
Tm  0.2287  0.4540  0.5637
Tm  0.5637  0.2287  0.4540
Tm  0.4540  0.5637  0.2287
Tm  0.0064  0.2163  0.3535
Tm  0.7837  0.6465  0.9936
Tm  0.6465  0.9936  0.7837
Tm  0.9936  0.7837  0.6465
Tm  0.2163  0.3535  0.0064
Tm  0.3535  0.0064  0.2163